Density functional theory data (GGA+U) for a relaxed BeFe2AsF crystal.

Cell lengths 4.5435, 4.5435, 3.9069 Å; angles 90.00, 90.00, 90.00 degrees
Positions (direct):
1 Be 0.0000 0.0000 0.0000
2 Fe 0.0000 0.5000 0.0000
3 Fe 0.5000 0.0000 0.0000
4 As 0.0000 0.0000 0.5000
5 F 0.5000 0.5000 0.5000

Properties
Energy: -20.1 eV/cell
Space-group type: P4/mmm, No. 123
Volume: 81 Å³ per cell
Density: 4.419 g/cm³